Record 1
Computed, not measured: a relaxed Ce4InIr crystal at the GGA-PBE level of DFT.

The calculation puts the relative energy among the computed polymorphs at 14 meV per atom. As for the spin magnetization: 0.29 μB/atom. The formation enthalpy at 0 K is -0.375 eV per atom. The value obtained for the total energy is -150.351 eV per cell.

The space group is C2/c (No. 15) and the conventional cell measures 8.8710, 12.3947 and 5.8311 Å, with angles of 90.00, 109.63 and 90.00 degrees. The asymmetric unit holds Ce at (0.1334, 0.1925, 0.0888), Ce at (0.2305, 0.3913, 0.3514), In at (0.0000, 0.3991, 0.7500) and Ir at (0.0000, 0.0032, 0.7500).



Record 2
Computed, not measured: a relaxed Tc3P crystal at the GGA-PBE level of DFT.

The calculation puts the relative energy among the computed polymorphs at 354 meV per atom. As for the spin magnetization: 0.00 μB/atom. The formation enthalpy at 0 K is 0.014 eV per atom. The value obtained for the total energy is -72.904 eV per cell.

The space group is C2/m (No. 12) and the conventional cell measures 9.1815, 2.8662 and 4.3275 Å, with angles of 90.00, 93.01 and 90.00 degrees. The asymmetric unit holds Tc at (0.0000, 0.0000, 0.0000), Tc at (0.2303, 0.5000, 0.2436) and P at (0.0000, 0.5000, 0.5000).



Record 3
Computed, not measured: a relaxed ReC2 crystal at the GGA-PBE level of DFT.

The calculation puts the relative energy among the computed polymorphs at 1381 meV per atom. As for the spin magnetization: 0.00 μB/atom. The formation enthalpy at 0 K is 1.821 eV per atom. The value obtained for the total energy is -76.300 eV per cell.

The space group is R-3m (No. 166, hexagonal axes) and the conventional cell measures 3.0515, 3.0515 and 12.7597 Å, with angles of 90.00, 90.00 and 120.00 degrees. The asymmetric unit holds Re at (0.0000, 0.0000, 0.0000) and C at (0.0000, 0.0000, 0.2470).



Record 4
Computed, not measured: a relaxed Pm3SmPt2 crystal at the GGA-PBE level of DFT.

The calculation puts the relative energy among the computed polymorphs at 82 meV per atom. As for the spin magnetization: 0.00 μB/atom. The formation enthalpy at 0 K is -0.761 eV per atom. The value obtained for the total energy is -142.463 eV per cell.

The space group is Ibam (No. 72) and the conventional cell measures 7.0704, 14.0422 and 7.2550 Å, with angles of 90.00, 90.00 and 90.00 degrees. The asymmetric unit holds Pm at (0.0000, 0.0000, 0.2500), Pm at (0.0000, 0.2637, 0.2500), Sm at (0.0000, 0.5000, 0.0000) and Pt at (0.2097, 0.1397, 0.0000).



Record 5
Computed, not measured: a relaxed SrMg2Tl4 crystal at the GGA-PBE level of DFT.

As for the spin magnetization: 0.00 μB/atom. The formation enthalpy at 0 K is -0.135 eV per atom. The value obtained for the total energy is -30.569 eV per cell.

The space group is I4/mmm (No. 139) and the conventional cell measures 8.0624, 8.0624 and 6.1606 Å, with angles of 90.00, 90.00 and 90.00 degrees. The asymmetric unit holds Sr at (0.0000, 0.0000, 0.0000), Mg at (0.0000, 0.5000, 0.2500) and Tl at (0.1994, 0.1994, 0.5000).



Record 6
Computed, not measured: a relaxed ZrCd4Pb crystal at the GGA-PBE level of DFT.

As for the spin magnetization: 0.30 μB/atom. The formation enthalpy at 0 K is 0.152 eV per atom. The value obtained for the total energy is -60.013 eV per cell.

The space group is F-43m (No. 216) and the conventional cell measures 8.2886, 8.2886 and 8.2886 Å, with angles of 90.00, 90.00 and 90.00 degrees. The asymmetric unit holds Zr at (0.0000, 0.0000, 0.0000), Cd at (0.1258, 0.1258, 0.6258) and Pb at (0.2500, 0.2500, 0.2500).